Pm3Ho2Er6Pb | PBE | relaxed

final energy: -4.59 eV per atom
calculated formation energy: -0.05 eV per atom
Fermi-level density of states: 16.4 states/eV/f.u.
volume: 30.84 A^3/atom

a b c (Å): 6.112 6.112 11.619
angles (deg): 95.07 95.07 119.99
Fractional positions:
Pm1 0.167 0.833 0.500
Pm2 0.833 0.167 0.500
Pm3 0.500 0.500 0.500
Ho1 0.334 0.666 0.000
Ho2 0.666 0.334 0.000
Er1 0.920 0.591 0.755
Er2 0.752 0.752 0.246
Er3 0.080 0.409 0.245
Er4 0.591 0.920 0.755
Er5 0.248 0.248 0.754
Er6 0.409 0.080 0.245
Pb1 0.000 0.000 0.000

TmTlPb | PBE | relaxed

final energy: -3.59 eV per atom
calculated formation energy: -0.07 eV per atom
polymorph energy (0 for the lowest one): 17.5 kJ per mole of atoms
Fermi-level density of states: 2.5 states/eV/f.u.
volume: 29.18 A^3/atom

a b c (Å): 4.332 4.332 5.581
angles (deg): 112.84 112.84 90.00
Fractional positions:
Pb1 0.287 0.287 0.575
Tl1 0.616 0.616 0.233
Tm1 0.946 0.946 0.892

AgTe2Br | PBE | relaxed

final energy: -2.73 eV per atom
raw formation energy: -0.025 eV per atom
Fermi-level density of states: 2.6 states/eV/f.u.
volume: 30.47 A^3/atom

a b c (Å): 5.457 4.860 4.857
angles (deg): 71.13 90.00 90.00
Fractional positions:
Te1 0.000 0.084 0.084
Te2 0.500 0.232 0.233
Br1 0.500 0.727 0.727
Ag1 0.000 0.457 0.456

KNiMo4 | PBE | relaxed

final energy: -7.22 eV per atom
calculated formation energy: 1.14 eV per atom
Fermi-level density of states: 5.6 states/eV/f.u.
volume: 18.19 A^3/atom

a b c (Å): 5.364 5.364 5.364
angles (deg): 60.00 60.00 60.00
Fractional positions:
K1 0.000 0.000 0.000
Ni1 0.750 0.750 0.750
Mo1 0.878 0.374 0.374
Mo2 0.374 0.374 0.878
Mo3 0.374 0.878 0.374
Mo4 0.374 0.374 0.374

Rb3SbO4 | PBE | relaxed

final energy: -4.91 eV per atom
raw formation energy: -1.549 eV per atom
polymorph energy (0 for the lowest one): 0.0 kJ per mole of atoms
Fermi-level density of states: 0.0 states/eV/f.u.
volume: 23.23 A^3/atom

a b c (Å): 8.560 9.546 9.095
angles (deg): 90.00 90.00 90.00
Fractional positions:
Sb1 0.281 0.011 0.750
Sb2 0.781 0.489 0.750
Sb3 0.719 0.989 0.250
Sb4 0.219 0.511 0.250
O1 0.176 0.953 0.575
O2 0.676 0.547 0.925
O3 0.824 0.047 0.075
O4 0.324 0.453 0.425
O5 0.824 0.047 0.425
O6 0.324 0.453 0.075
O7 0.176 0.953 0.925
O8 0.676 0.547 0.575
O9 0.290 0.212 0.750
O10 0.790 0.288 0.750
O11 0.710 0.788 0.250
O12 0.210 0.712 0.250
O13 0.489 0.937 0.750
O14 0.989 0.563 0.750
O15 0.511 0.063 0.250
O16 0.011 0.437 0.250
Rb1 0.307 0.499 0.750
Rb2 0.807 0.001 0.750
Rb3 0.693 0.501 0.250
Rb4 0.193 0.999 0.250
Rb5 0.465 0.762 0.017
Rb6 0.965 0.738 0.483
Rb7 0.535 0.238 0.517
Rb8 0.035 0.262 0.983
Rb9 0.535 0.238 0.983
Rb10 0.035 0.262 0.517
Rb11 0.465 0.762 0.483
Rb12 0.965 0.738 0.017

ReNi2I2 | PBE | relaxed

final energy: -4.23 eV per atom
raw formation energy: 1.196 eV per atom
polymorph energy (0 for the lowest one): 4.9 kJ per mole of atoms
Fermi-level density of states: 5.9 states/eV/f.u.
volume: 18.16 A^3/atom

a b c (Å): 7.242 7.242 3.463
angles (deg): 90.00 90.00 90.00
Fractional positions:
I1 0.328 0.828 0.000
I2 0.828 0.672 0.000
I3 0.672 0.172 0.000
I4 0.172 0.328 0.000
Re1 0.000 0.000 0.000
Re2 0.500 0.500 0.000
Ni1 0.135 0.635 0.500
Ni2 0.635 0.865 0.500
Ni3 0.865 0.365 0.500
Ni4 0.365 0.135 0.500

NaSe2 | PBE | relaxed

final energy: -3.34 eV per atom
raw formation energy: -0.573 eV per atom
polymorph energy (0 for the lowest one): 0.0 kJ per mole of atoms
volume: 27.41 A^3/atom

a b c (Å): 9.561 9.561 9.561
angles (deg): 114.69 114.69 99.47
Fractional positions:
Na1 0.875 0.873 0.498
Na2 0.127 0.625 0.002
Na3 0.623 0.125 0.998
Na4 0.375 0.377 0.502
Na5 0.941 0.441 0.500
Na6 0.559 0.059 0.500
Na7 0.809 0.809 0.000
Na8 0.191 0.191 0.000
Se1 0.527 0.544 0.262
Se2 0.456 0.717 0.982
Se3 0.735 0.473 0.018
Se4 0.467 0.706 0.482
Se5 0.223 0.985 0.518
Se6 0.283 0.265 0.738
Se7 0.294 0.777 0.762
Se8 0.015 0.533 0.238
Se9 0.025 0.272 0.209
Se10 0.063 0.816 0.791
Se11 0.022 0.275 0.709
Se12 0.184 0.975 0.247
Se13 0.728 0.937 0.753
Se14 0.725 0.434 0.747
Se15 0.687 0.978 0.253
Se16 0.566 0.313 0.291

NdHo2Ga2 | PBE | relaxed

final energy: -4.45 eV per atom
calculated formation energy: -0.45 eV per atom
polymorph energy (0 for the lowest one): 0.0 kJ per mole of atoms
Fermi-level density of states: 6.4 states/eV/f.u.
volume: 25.59 A^3/atom

a b c (Å): 3.711 8.305 8.305
angles (deg): 90.00 90.00 90.00
Fractional positions:
Nd1 0.500 0.500 0.000
Nd2 0.500 0.000 0.500
Ho1 0.000 0.674 0.326
Ho2 0.000 0.826 0.826
Ho3 0.000 0.174 0.174
Ho4 0.000 0.326 0.674
Ga1 0.500 0.379 0.379
Ga2 0.500 0.879 0.121
Ga3 0.500 0.121 0.879
Ga4 0.500 0.621 0.621

Ba6BiPd2I3 | PBE | relaxed

final energy: -3.61 eV per atom
raw formation energy: -1.075 eV per atom
Fermi-level density of states: 7.3 states/eV/f.u.
volume: 43.86 A^3/atom

a b c (Å): 4.833 10.344 11.340
angles (deg): 107.72 102.30 90.00
Fractional positions:
Ba1 0.335 0.881 0.671
Ba2 0.679 0.560 0.359
Ba3 0.665 0.119 0.329
Ba4 0.016 0.245 0.031
Ba5 0.984 0.755 0.969
Ba6 0.321 0.440 0.641
Bi1 0.500 0.000 0.000
Pd1 0.830 0.660 0.659
Pd2 0.170 0.340 0.341
I1 0.500 0.500 0.000
I2 0.837 0.164 0.675
I3 0.163 0.836 0.325

MnCr3Te4 | PBE | relaxed

final energy: -6.38 eV per atom
raw formation energy: -0.058 eV per atom
polymorph energy (0 for the lowest one): 0.0 kJ per mole of atoms
Fermi-level density of states: 4.3 states/eV/f.u.
volume: 22.70 A^3/atom

a b c (Å): 7.369 7.369 7.183
angles (deg): 60.78 60.78 32.73
Last column: magnetic moment on the atom in μB.
Fractional positions:
Mn1 0.000 0.000 0.000  3.77
Cr1 0.500 0.500 0.500  3.54
Cr2 0.756 0.756 0.247  3.42
Cr3 0.244 0.244 0.753  3.42
Te1 0.128 0.128 0.209  -0.10
Te2 0.625 0.625 0.705  -0.09
Te3 0.375 0.375 0.295  -0.09
Te4 0.872 0.872 0.791  -0.10

Tc2IrW | PBE | relaxed

final energy: -10.63 eV per atom
calculated formation energy: 0.00 eV per atom
polymorph energy (0 for the lowest one): 12.1 kJ per mole of atoms
Fermi-level density of states: 5.0 states/eV/f.u.
volume: 14.98 A^3/atom

a b c (Å): 3.872 2.769 6.241
angles (deg): 63.59 90.00 90.00
Fractional positions:
Ir1 0.500 0.750 0.750
Tc1 0.000 0.008 0.993
Tc2 0.000 0.492 0.507
W1 0.500 0.250 0.250

Ag3Rh2 | PBE | relaxed

final energy: -4.42 eV per atom
calculated formation energy: 0.23 eV per atom
polymorph energy (0 for the lowest one): 10.3 kJ per mole of atoms
Fermi-level density of states: 6.1 states/eV/f.u.
volume: 16.32 A^3/atom

a b c (Å): 5.010 5.010 6.984
angles (deg): 61.23 61.23 32.56
Fractional positions:
Ag1 0.100 0.100 0.594
Ag2 0.500 0.500 0.000
Ag3 0.900 0.900 0.406
Rh1 0.295 0.295 0.820
Rh2 0.705 0.705 0.180

Pm3GeSe2 | PBE | relaxed

final energy: -5.91 eV per atom
raw formation energy: -1.602 eV per atom
Fermi-level density of states: 2.0 states/eV/f.u.
volume: 26.82 A^3/atom

a b c (Å): 4.247 5.970 7.327
angles (deg): 114.04 106.85 90.00
Fractional positions:
Pm1 0.839 0.339 0.179
Pm2 0.161 0.661 0.821
Pm3 0.500 0.000 0.500
Ge1 0.500 0.500 0.500
Se1 0.832 0.832 0.165
Se2 0.168 0.168 0.835

ScBeNi2Os | PBE | relaxed

final energy: -6.66 eV per atom
calculated formation energy: -0.09 eV per atom
polymorph energy (0 for the lowest one): 0.0 kJ per mole of atoms
Fermi-level density of states: 3.6 states/eV/f.u.
volume: 13.26 A^3/atom

a b c (Å): 3.973 4.200 3.973
angles (deg): 90.00 90.00 90.00
Last column: magnetic moment on the atom in μB.
Fractional positions:
Sc1 0.500 0.500 0.500  -0.03
Ni1 0.000 0.000 0.500  0.18
Ni2 0.500 0.000 0.000  0.20
Os1 0.000 0.500 0.000  0.19
Be1 0.000 0.000 0.000  -0.01

AcMg2AlZn2 | PBE | relaxed

final energy: -2.24 eV per atom
calculated formation energy: 0.02 eV per atom
Fermi-level density of states: 3.0 states/eV/f.u.
volume: 25.28 A^3/atom

a b c (Å): 5.099 5.099 6.858
angles (deg): 111.82 111.82 90.00
Fractional positions:
Ac1 0.500 0.500 0.000
Mg1 0.250 0.750 0.500
Mg2 0.750 0.250 0.500
Al1 0.000 0.000 0.000
Zn1 0.794 0.794 0.589
Zn2 0.206 0.206 0.411

CoRu2Br | PBE | relaxed

final energy: -6.19 eV per atom
raw formation energy: 0.643 eV per atom
polymorph energy (0 for the lowest one): 9.3 kJ per mole of atoms
Fermi-level density of states: 5.3 states/eV/f.u.
volume: 15.04 A^3/atom

a b c (Å): 2.899 2.899 7.159
angles (deg): 90.00 90.00 90.00
Last column: magnetic moment on the atom in μB.
Fractional positions:
Br1 0.000 0.000 0.505  0.10
Co1 0.500 0.500 0.766  1.78
Ru1 0.000 0.000 0.999  0.41
Ru2 0.500 0.500 0.230  -0.14

ScCd2Cl | PBE | relaxed

final energy: -3.04 eV per atom
raw formation energy: -0.538 eV per atom
polymorph energy (0 for the lowest one): 5.1 kJ per mole of atoms
Fermi-level density of states: 2.0 states/eV/f.u.
volume: 24.94 A^3/atom

a b c (Å): 3.267 3.267 10.199
angles (deg): 90.00 90.00 113.57
Fractional positions:
Cd1 0.000 0.000 0.974
Cd2 0.500 0.500 0.218
Cl1 0.000 0.000 0.566
Sc1 0.500 0.500 0.741

Be2TcAs | PBE | relaxed

final energy: -5.64 eV per atom
calculated formation energy: -0.02 eV per atom
Fermi-level density of states: 2.0 states/eV/f.u.
volume: 11.66 A^3/atom

a b c (Å): 4.574 4.574 4.574
angles (deg): 139.28 130.71 65.79
Fractional positions:
Be1 0.990 0.990 0.000
Be2 0.765 0.265 0.500
As1 0.244 0.744 0.500
Tc1 0.501 0.501 0.000

Pr7Al2Ge2 | PBE | relaxed

final energy: -4.84 eV per atom
calculated formation energy: -0.28 eV per atom
Fermi-level density of states: 11.3 states/eV/f.u.
volume: 31.19 A^3/atom

a b c (Å): 6.987 7.376 6.987
angles (deg): 90.00 107.70 90.00
Fractional positions:
Pr1 0.000 0.283 0.500
Pr2 0.500 0.717 0.000
Pr3 0.000 0.717 0.500
Pr4 0.500 0.283 0.000
Pr5 0.000 0.000 0.000
Pr6 0.500 0.741 0.500
Pr7 0.500 0.259 0.500
Al1 0.839 0.500 0.839
Al2 0.161 0.500 0.161
Ge1 0.717 0.000 0.283
Ge2 0.283 0.000 0.717

TaBe2Si | PBE | relaxed

final energy: -6.12 eV per atom
raw formation energy: 0.057 eV per atom
Fermi-level density of states: 1.3 states/eV/f.u.
volume: 12.29 A^3/atom

a b c (Å): 2.948 2.948 5.725
angles (deg): 90.00 90.00 98.99
Fractional positions:
Be1 0.000 0.000 0.058
Be2 0.500 0.500 0.226
Si1 0.000 0.000 0.454
Ta1 0.500 0.500 0.761

WSe4I | PBE | relaxed

final energy: -4.83 eV per atom
raw formation energy: -0.091 eV per atom
Fermi-level density of states: 0.3 states/eV/f.u.
volume: 30.37 A^3/atom

a b c (Å): 5.849 7.542 9.083
angles (deg): 114.53 88.64 90.00
Fractional positions:
W1 0.252 0.509 0.019
W2 0.748 0.491 0.981
Se1 0.261 0.671 0.342
Se2 0.465 0.203 0.810
Se3 0.000 0.237 0.000
Se4 0.535 0.393 0.190
Se5 0.739 0.329 0.658
Se6 0.535 0.797 0.190
Se7 0.000 0.763 0.000
Se8 0.465 0.607 0.810
I1 0.879 0.799 0.599
I2 0.121 0.201 0.401

In3CoSb | PBE | relaxed

final energy: -3.69 eV per atom
raw formation energy: 0.200 eV per atom
Fermi-level density of states: 5.2 states/eV/f.u.
volume: 24.88 A^3/atom

a b c (Å): 4.992 4.992 4.992
angles (deg): 90.00 90.00 90.00
Fractional positions:
Sb1 0.500 0.500 0.500
Co1 0.000 0.000 0.000
In1 0.000 0.500 0.000
In2 0.000 0.000 0.500
In3 0.500 0.000 0.000

ZnPbSe2Br | PBE | relaxed

final energy: -2.93 eV per atom
raw formation energy: -0.208 eV per atom
polymorph energy (0 for the lowest one): 0.0 kJ per mole of atoms
Fermi-level density of states: 2.1 states/eV/f.u.
volume: 26.01 A^3/atom

a b c (Å): 4.954 4.954 5.299
angles (deg): 90.00 90.00 90.00
Fractional positions:
Pb1 0.500 0.500 0.500
Zn1 0.000 0.000 0.000
Se1 0.000 0.500 0.000
Se2 0.500 0.000 0.000
Br1 0.000 0.000 0.500

FeCuPCl2 | PBE | relaxed

final energy: -3.93 eV per atom
raw formation energy: 0.398 eV per atom
polymorph energy (0 for the lowest one): 0.0 kJ per mole of atoms
Fermi-level density of states: 3.9 states/eV/f.u.
volume: 19.90 A^3/atom

a b c (Å): 4.802 4.802 4.314
angles (deg): 90.00 90.00 90.00
Last column: magnetic moment on the atom in μB.
Fractional positions:
P1 0.000 0.000 0.500  -0.22
Fe1 0.000 0.000 0.000  1.97
Cu1 0.500 0.500 0.500  -0.02
Cl1 0.000 0.500 0.000  -0.01
Cl2 0.500 0.000 0.000  -0.01